! Mg2ZrRe, optimized geometry, DFT PBE-GGA; values from VASP
! - V: 75 Å³/cell
! - E_tot: -5.73 eV/atom
! - DOS at the Fermi energy: 1.26 states/eV per atom
&SYSTEM
  ibrav = 0, nat = 4, ntyp = 3
/
ATOMIC_SPECIES
Mg 24.30 Mg.upf
Zr 91.22 Zr.upf
Re 186.21 Re.upf
CELL_PARAMETERS angstrom
2.806 0.000 0.000
0.000 2.806 0.000
0.000 0.000 9.585
ATOMIC_POSITIONS angstrom
Mg 0.000 0.000 2.155
Mg 0.000 0.000 7.430
Zr 1.403 1.403 4.793
Re 1.403 1.403 0.000

---

! AcTb7Ho4, optimized geometry, DFT PBE-GGA; values from VASP
! - V: 391 Å³/cell
! - E_tot: -4.56 eV/atom
! - DOS at the Fermi energy: 1.45 states/eV per atom
&SYSTEM
  ibrav = 0, nat = 12, ntyp = 3
/
ATOMIC_SPECIES
Ac 227.00 Ac.upf
Tb 158.93 Tb.upf
Ho 164.93 Ho.upf
CELL_PARAMETERS angstrom
6.249 0.000 0.000
0.006 7.233 0.000
2.116 0.005 8.654
ATOMIC_POSITIONS angstrom
Ac 0.000 0.000 0.000
Tb 0.003 3.616 0.000
Tb 2.116 0.004 2.928
Tb 3.161 5.397 5.736
Tb 5.240 1.851 8.653
Tb 3.130 5.387 0.001
Tb 5.210 1.841 2.918
Tb 6.255 7.234 5.726
Ho 2.084 3.619 2.900
Ho 3.156 1.843 5.739
Ho 5.214 5.396 2.915
Ho 6.286 3.619 5.754

---

! NdDyZnRh, optimized geometry, DFT PBE-GGA; values from VASP
! - V: 359 Å³/cell
! - E_tot: -5.03 eV/atom
! - DOS at the Fermi energy: 0.52 states/eV per atom
&SYSTEM
  ibrav = 0, nat = 16, ntyp = 4
/
ATOMIC_SPECIES
Nd 144.24 Nd.upf
Dy 162.50 Dy.upf
Zn 65.41 Zn.upf
Rh 102.91 Rh.upf
CELL_PARAMETERS angstrom
7.105 0.000 0.000
0.000 7.105 0.000
0.000 0.000 7.105
ATOMIC_POSITIONS angstrom
Nd 0.000 0.000 0.000
Nd 0.000 3.553 3.553
Nd 3.553 0.000 3.553
Nd 3.553 3.553 0.000
Dy 0.000 0.000 3.553
Dy 0.000 3.553 0.000
Dy 3.553 0.000 0.000
Dy 3.553 3.553 3.553
Zn 1.776 1.776 1.776
Zn 1.776 5.329 5.329
Zn 5.329 1.776 5.329
Zn 5.329 5.329 1.776
Rh 1.776 1.776 5.329
Rh 1.776 5.329 1.776
Rh 5.329 1.776 1.776
Rh 5.329 5.329 5.329

---

! Hg2PbCl, optimized geometry, DFT PBE-GGA; values from VASP
! - V: 238 Å³/cell
! - E_tot: -1.80 eV/atom
! - Raw formation energy: -0.262 eV per atom
! - DOS at the Fermi energy: 0.35 states/eV per atom
&SYSTEM
  ibrav = 0, nat = 8, ntyp = 3
/
ATOMIC_SPECIES
Hg 200.59 Hg.upf
Pb 207.20 Pb.upf
Cl 35.45 Cl.upf
CELL_PARAMETERS angstrom
3.903 0.000 0.000
0.000 6.095 0.000
0.000 0.000 10.010
ATOMIC_POSITIONS angstrom
Hg 0.000 0.000 0.000
Hg 0.000 3.047 2.505
Hg 1.951 0.000 2.505
Hg 1.951 3.047 0.000
Pb 0.000 3.047 7.265
Pb 1.951 0.000 7.265
Cl 0.000 0.000 5.193
Cl 1.951 3.047 5.193

---

! Rb2Tl7Bi, optimized geometry, DFT PBE-GGA; values from VASP
! - V: 377 Å³/cell
! - E_tot: -2.31 eV/atom
! - DOS at the Fermi energy: 0.58 states/eV per atom
&SYSTEM
  ibrav = 0, nat = 10, ntyp = 3
/
ATOMIC_SPECIES
Rb 85.47 Rb.upf
Tl 204.38 Tl.upf
Bi 208.98 Bi.upf
CELL_PARAMETERS angstrom
5.215 0.000 0.000
0.000 5.215 0.000
0.000 0.000 13.880
ATOMIC_POSITIONS angstrom
Rb 0.000 2.607 3.403
Rb 2.607 0.000 10.477
Tl 0.000 0.000 0.000
Tl 0.000 0.000 6.940
Tl 0.000 2.607 8.779
Tl 0.000 2.607 11.919
Tl 2.607 0.000 1.961
Tl 2.607 0.000 5.101
Tl 2.607 2.607 6.940
Bi 2.607 2.607 0.000

---

! CsZn3Rh, optimized geometry, DFT PBE-GGA; values from VASP
! - V: 278 Å³/cell
! - E_tot: -0.73 eV/atom
! - DOS at the Fermi energy: 27.29 states/eV per atom
&SYSTEM
  ibrav = 0, nat = 5, ntyp = 3
/
ATOMIC_SPECIES
Cs 132.91 Cs.upf
Zn 65.41 Zn.upf
Rh 102.91 Rh.upf
CELL_PARAMETERS angstrom
6.525 0.000 0.000
0.000 6.525 0.000
0.000 0.000 6.525
ATOMIC_POSITIONS angstrom
Cs 0.000 0.000 0.000
Zn 0.000 0.000 3.263
Zn 0.000 3.263 0.000
Zn 3.263 0.000 0.000
Rh 3.263 3.263 3.263

---

! CsFe2BiCl8, optimized geometry, DFT PBE-GGA; values from VASP
! - V: 410 Å³/cell
! - E_tot: -4.05 eV/atom
! - Raw formation energy: -1.010 eV per atom
! - DOS at the Fermi energy: 0.95 states/eV per atom
&SYSTEM
  ibrav = 0, nat = 12, ntyp = 4
/
ATOMIC_SPECIES
Cs 132.91 Cs.upf
Fe 55.84 Fe.upf
Bi 208.98 Bi.upf
Cl 35.45 Cl.upf
CELL_PARAMETERS angstrom
5.390 -3.722 0.000
5.390 3.722 0.000
-1.302 0.000 10.223
ATOMIC_POSITIONS angstrom
Cs 0.000 0.000 0.000
Fe 3.243 0.000 7.265
Fe 6.236 0.000 2.958
Bi -0.651 0.000 5.112
Cl 4.824 1.832 3.075
Cl 2.077 0.000 5.272
Cl 4.655 1.832 7.149
Cl 2.194 0.000 9.218
Cl 7.284 0.000 1.005
Cl 4.824 -1.832 3.075
Cl 7.401 0.000 4.952
Cl 4.655 -1.832 7.149

---

! La4HoSc, optimized geometry, DFT PBE-GGA; values from VASP
! - V: 200 Å³/cell
! - E_tot: -5.06 eV/atom
! - DOS at the Fermi energy: 1.44 states/eV per atom
&SYSTEM
  ibrav = 0, nat = 6, ntyp = 3
/
ATOMIC_SPECIES
La 138.91 La.upf
Ho 164.93 Ho.upf
Sc 44.96 Sc.upf
CELL_PARAMETERS angstrom
6.219 0.000 0.000
-3.034 5.429 0.000
-1.064 -1.827 5.930
ATOMIC_POSITIONS angstrom
La 0.018 1.812 0.001
La 0.992 0.019 2.966
La 1.130 3.583 2.964
La 2.104 1.790 5.929
Ho 3.110 0.000 0.000
Sc -2.049 1.801 2.965

---

! Cu2Ni2Br7, optimized geometry, DFT PBE-GGA; values from VASP
! - V: 663 Å³/cell
! - E_tot: -3.10 eV/atom
! - Raw formation energy: -0.238 eV per atom
! - DOS at the Fermi energy: 0.59 states/eV per atom
&SYSTEM
  ibrav = 0, nat = 22, ntyp = 3
/
ATOMIC_SPECIES
Cu 63.55 Cu.upf
Ni 58.69 Ni.upf
Br 79.90 Br.upf
CELL_PARAMETERS angstrom
5.029 -5.467 0.000
5.029 5.467 0.000
-4.763 0.000 12.059
ATOMIC_POSITIONS angstrom
Cu 1.956 4.186 7.032
Cu 0.956 4.186 11.056
Cu 4.338 -4.186 1.003
Cu 3.338 -4.186 5.027
Ni -0.669 0.558 9.592
Ni 1.712 -0.558 3.563
Ni 3.582 0.558 8.496
Ni 5.964 -0.558 2.467
Br -2.041 0.846 7.666
Br -0.677 2.469 10.953
Br 0.651 1.201 4.766
Br 0.341 -0.846 1.637
Br -1.731 -1.201 10.795
Br 3.590 2.469 7.135
Br 3.838 0.292 3.015
Br 1.456 -0.292 9.044
Br 1.704 -2.469 4.923
Br 7.025 1.201 1.263
Br 4.953 0.846 10.422
Br 4.643 -1.201 7.293
Br 5.971 -2.469 1.106
Br 7.335 -0.846 4.392

---

! BaAg8O6, optimized geometry, DFT PBE-GGA; values from VASP
! - V: 243 Å³/cell
! - E_tot: -3.90 eV/atom
! - Raw formation energy: -0.272 eV per atom
! - DOS at the Fermi energy: 0.42 states/eV per atom
&SYSTEM
  ibrav = 0, nat = 15, ntyp = 3
/
ATOMIC_SPECIES
Ba 137.33 Ba.upf
Ag 107.87 Ag.upf
O 16.00 O.upf
CELL_PARAMETERS angstrom
3.276 1.891 6.527
-3.276 1.891 6.527
0.000 -3.782 6.527
ATOMIC_POSITIONS angstrom
Ba 0.000 0.000 0.000
Ag -1.644 -1.799 8.606
Ag -2.380 0.524 10.974
Ag 0.000 0.000 6.921
Ag 0.736 -2.323 10.974
Ag -0.736 2.323 8.606
Ag 0.000 0.000 12.658
Ag 2.380 -0.524 8.606
Ag 1.644 1.799 10.974
O -2.091 0.321 8.392
O -1.324 -1.651 11.188
O 0.768 -1.972 8.392
O -0.768 1.972 11.188
O 1.324 1.651 8.392
O 2.091 -0.321 11.188

---

! CuAsRu2, optimized geometry, DFT PBE-GGA; values from VASP
! - V: 55 Å³/cell
! - E_tot: -6.71 eV/atom
! - DOS at the Fermi energy: 1.27 states/eV per atom
&SYSTEM
  ibrav = 0, nat = 4, ntyp = 3
/
ATOMIC_SPECIES
Cu 63.55 Cu.upf
As 74.92 As.upf
Ru 101.07 Ru.upf
CELL_PARAMETERS angstrom
3.011 0.000 0.000
0.000 3.011 0.000
0.000 0.000 6.051
ATOMIC_POSITIONS angstrom
Cu 0.000 0.000 0.000
As 0.000 0.000 3.026
Ru 1.506 1.506 1.573
Ru 1.506 1.506 4.478

---

! AcSmBi4O8, optimized geometry, DFT PBE-GGA; values from VASP
! - V: 273 Å³/cell
! - E_tot: -6.32 eV/atom
! - Raw formation energy: -1.746 eV per atom
! - DOS at the Fermi energy: 0.07 states/eV per atom
&SYSTEM
  ibrav = 0, nat = 14, ntyp = 4
/
ATOMIC_SPECIES
Ac 227.00 Ac.upf
Sm 150.36 Sm.upf
Bi 208.98 Bi.upf
O 16.00 O.upf
CELL_PARAMETERS angstrom
3.594 2.075 6.102
-3.594 2.075 6.102
0.000 -4.150 6.102
ATOMIC_POSITIONS angstrom
Ac 0.000 0.000 0.000
Sm 0.000 0.000 6.896
Bi 0.000 -2.051 9.974
Bi -1.777 1.026 9.974
Bi 0.000 0.000 14.517
Bi 1.777 1.026 9.974
O 0.000 0.000 2.433
O 0.000 -1.819 5.436
O -1.575 0.910 5.436
O -1.521 -0.878 8.530
O 1.575 0.910 5.436
O 0.000 0.000 11.013
O 1.521 -0.878 8.530
O 0.000 1.756 8.530